Record 1
# GGA-PBE Mg4CdSe5, relaxed
data_Mg4CdSe5
_cell_length_a 4.285
_cell_length_b 4.285
_cell_length_c 34.621
_cell_angle_alpha 90.00
_cell_angle_beta 90.00
_cell_angle_gamma 120.00
_space_group_name_H-M_alt 'P 1'
_space_group_IT_number 1
_space_group_name_Hall 'P 1'
loop_
_atom_site_label
_atom_site_type_symbol
_atom_site_fract_x
_atom_site_fract_y
_atom_site_fract_z
Se1 Se 0.333 0.667 0.625
Mg1 Mg 0.333 0.667 0.898
Mg2 Mg 0.333 0.667 0.503
Se2 Se 0.667 0.333 0.329
Se3 Se 0.333 0.667 0.020
Cd1 Cd 0.333 0.667 0.301
Mg3 Mg 0.667 0.333 0.996
Cd2 Cd 0.333 0.667 0.097
Se4 Se 0.667 0.333 0.527
Se5 Se 0.667 0.333 0.125
Mg4 Mg 0.667 0.333 0.201
Se6 Se 0.667 0.333 0.921
Se7 Se 0.333 0.667 0.224
Se8 Se 0.333 0.667 0.823
Mg5 Mg 0.333 0.667 0.700
Se9 Se 0.333 0.667 0.428
Mg6 Mg 0.667 0.333 0.602
Mg7 Mg 0.667 0.333 0.405
Mg8 Mg 0.667 0.333 0.799
Se10 Se 0.667 0.333 0.724
# * total DFT energy (no corrections): -3.604 eV/atom
# * total magnetic moment: 0.00 μB per atom
# * DOS(E_F): 0.00 states/eV/f.u.

Record 2
# GGA-PBE MgCdSe, relaxed
data_MgCdSe
_cell_length_a 4.753
_cell_length_b 4.753
_cell_length_c 4.753
_cell_angle_alpha 60.00
_cell_angle_beta 60.00
_cell_angle_gamma 60.00
_space_group_name_H-M_alt 'P 1'
_space_group_IT_number 1
_space_group_name_Hall 'P 1'
loop_
_atom_site_label
_atom_site_type_symbol
_atom_site_fract_x
_atom_site_fract_y
_atom_site_fract_z
Se1 Se 0.000 0.000 0.000
Mg1 Mg 0.750 0.750 0.750
Cd1 Cd 0.500 0.500 0.500
# * energy above the most stable polymorph in this dataset: 0.301 eV per atom
# * total magnetic moment: 0.00 μB per atom

Record 3
# GGA-PBE MgCdSe2, relaxed
data_MgCdSe2
_cell_length_a 6.904
_cell_length_b 7.725
_cell_length_c 4.101
_cell_angle_alpha 90.06
_cell_angle_beta 97.78
_cell_angle_gamma 90.01
_space_group_name_H-M_alt 'P 1'
_space_group_IT_number 1
_space_group_name_Hall 'P 1'
loop_
_atom_site_label
_atom_site_type_symbol
_atom_site_fract_x
_atom_site_fract_y
_atom_site_fract_z
Cd1 Cd 0.352 0.151 0.732
Se1 Se 0.675 0.632 0.081
Mg1 Mg 0.440 0.616 0.525
Se2 Se 0.175 0.847 0.581
Mg2 Mg 0.940 0.864 0.025
Se3 Se 0.738 0.121 0.717
Cd2 Cd 0.852 0.328 0.233
Se4 Se 0.238 0.357 0.217
# * total DFT energy (no corrections): -3.248 eV/atom
# * total magnetic moment: 0.00 μB per atom
# * DOS(E_F): 0.00 states/eV/f.u.

Record 4
# GGA-PBE MgCd2Se, relaxed
data_MgCd2Se
_cell_length_a 5.675
_cell_length_b 5.675
_cell_length_c 5.675
_cell_angle_alpha 141.92
_cell_angle_beta 117.00
_cell_angle_gamma 76.05
_space_group_name_H-M_alt 'P 1'
_space_group_IT_number 1
_space_group_name_Hall 'P 1'
loop_
_atom_site_label
_atom_site_type_symbol
_atom_site_fract_x
_atom_site_fract_y
_atom_site_fract_z
Mg1 Mg 0.472 0.472 0.000
Cd1 Cd 0.746 0.246 0.500
Se1 Se 0.267 0.767 0.500
Cd2 Cd 0.016 0.016 0.000
# * total DFT energy (no corrections): -1.923 eV/atom
# * total magnetic moment: 0.00 μB per atom
# * DOS(E_F): 0.57 states/eV/f.u.

Record 5
# GGA-PBE MgCdSe, relaxed
data_MgCdSe
_cell_length_a 4.366
_cell_length_b 4.366
_cell_length_c 11.806
_cell_angle_alpha 81.35
_cell_angle_beta 81.35
_cell_angle_gamma 59.63
_space_group_name_H-M_alt 'P 1'
_space_group_IT_number 1
_space_group_name_Hall 'P 1'
loop_
_atom_site_label
_atom_site_type_symbol
_atom_site_fract_x
_atom_site_fract_y
_atom_site_fract_z
Cd1 Cd 0.733 0.733 0.075
Mg1 Mg 0.184 0.184 0.747
Mg2 Mg 0.568 0.568 0.561
Se1 Se 0.248 0.248 0.514
Se2 Se 0.504 0.504 0.794
Cd2 Cd 0.023 0.023 0.232
# * energy above the most stable polymorph in this dataset: 0.000 eV per atom
# * total magnetic moment: 0.00 μB per atom

Record 6
# GGA-PBE MgCd2Se, relaxed
data_MgCd2Se
_cell_length_a 4.033
_cell_length_b 4.033
_cell_length_c 5.637
_cell_angle_alpha 90.00
_cell_angle_beta 90.00
_cell_angle_gamma 90.00
_space_group_name_H-M_alt 'P 1'
_space_group_IT_number 1
_space_group_name_Hall 'P 1'
loop_
_atom_site_label
_atom_site_type_symbol
_atom_site_fract_x
_atom_site_fract_y
_atom_site_fract_z
Cd1 Cd 0.000 0.000 0.498
Cd2 Cd 0.000 0.000 0.002
Mg1 Mg 0.500 0.500 0.250
Se1 Se 0.500 0.500 0.750
# * total DFT energy (no corrections): -1.862 eV/atom
# * total magnetic moment: 0.00 μB per atom
# * DOS(E_F): 1.55 states/eV/f.u.

Record 7
# GGA-PBE Mg3CdSe, relaxed
data_Mg3CdSe
_cell_length_a 5.088
_cell_length_b 5.088
_cell_length_c 5.088
_cell_angle_alpha 90.00
_cell_angle_beta 90.00
_cell_angle_gamma 90.00
_space_group_name_H-M_alt 'P 1'
_space_group_IT_number 1
_space_group_name_Hall 'P 1'
loop_
_atom_site_label
_atom_site_type_symbol
_atom_site_fract_x
_atom_site_fract_y
_atom_site_fract_z
Cd1 Cd 0.500 0.500 0.500
Mg1 Mg 0.500 0.000 0.000
Mg2 Mg 0.000 0.000 0.500
Se1 Se 0.000 0.000 0.000
Mg3 Mg 0.000 0.500 0.000
# * energy above the most stable polymorph in this dataset: 0.000 eV per atom
# * total magnetic moment: 0.00 μB per atom
# * DOS(E_F): 2.17 states/eV/f.u.

Record 8
# GGA-PBE Mg2CdSe2, relaxed
data_Mg2CdSe2
_cell_length_a 5.243
_cell_length_b 5.243
_cell_length_c 7.522
_cell_angle_alpha 69.61
_cell_angle_beta 69.61
_cell_angle_gamma 90.00
_space_group_name_H-M_alt 'P 1'
_space_group_IT_number 1
_space_group_name_Hall 'P 1'
loop_
_atom_site_label
_atom_site_type_symbol
_atom_site_fract_x
_atom_site_fract_y
_atom_site_fract_z
Se1 Se 0.750 0.250 0.500
Mg1 Mg 0.764 0.764 0.472
Cd1 Cd 0.000 0.000 0.000
Se2 Se 0.250 0.750 0.500
Mg2 Mg 0.236 0.236 0.528
# * energy above the most stable polymorph in this dataset: 0.000 eV per atom
# * total magnetic moment: 0.00 μB per atom
# * DOS(E_F): 0.00 states/eV/f.u.

Record 9
# GGA-PBE MgCdSe2, relaxed
data_MgCdSe2
_cell_length_a 7.260
_cell_length_b 4.057
_cell_length_c 13.544
_cell_angle_alpha 90.00
_cell_angle_beta 90.00
_cell_angle_gamma 90.00
_space_group_name_H-M_alt 'P 1'
_space_group_IT_number 1
_space_group_name_Hall 'P 1'
loop_
_atom_site_label
_atom_site_type_symbol
_atom_site_fract_x
_atom_site_fract_y
_atom_site_fract_z
Se1 Se 0.572 0.750 0.281
Se2 Se 0.220 0.750 0.497
Cd1 Cd 0.433 0.250 0.387
Mg1 Mg 0.891 0.750 0.385
Se3 Se 0.280 0.250 0.997
Se4 Se 0.428 0.250 0.719
Se5 Se 0.720 0.750 0.003
Cd2 Cd 0.067 0.750 0.887
Se6 Se 0.072 0.750 0.219
Cd3 Cd 0.933 0.250 0.113
Mg2 Mg 0.609 0.250 0.885
Mg3 Mg 0.391 0.750 0.115
Se7 Se 0.928 0.250 0.781
Se8 Se 0.780 0.250 0.503
Cd4 Cd 0.567 0.750 0.613
Mg4 Mg 0.109 0.250 0.615
# * total DFT energy (no corrections): -3.136 eV/atom
# * total magnetic moment: 0.00 μB per atom
# * DOS(E_F): 0.00 states/eV/f.u.

Record 10
# GGA-PBE MgCdSe2, relaxed
data_MgCdSe2
_cell_length_a 5.791
_cell_length_b 5.791
_cell_length_c 5.791
_cell_angle_alpha 141.30
_cell_angle_beta 93.02
_cell_angle_gamma 99.61
_space_group_name_H-M_alt 'P 1'
_space_group_IT_number 1
_space_group_name_Hall 'P 1'
loop_
_atom_site_label
_atom_site_type_symbol
_atom_site_fract_x
_atom_site_fract_y
_atom_site_fract_z
Mg1 Mg 0.750 0.250 0.500
Cd1 Cd 0.250 0.750 0.500
Se1 Se 0.992 0.992 0.000
Se2 Se 0.508 0.508 0.000
# * total DFT energy (no corrections): -2.893 eV/atom
# * total magnetic moment: 0.00 μB per atom
# * DOS(E_F): 0.35 states/eV/f.u.

Record 11
# GGA-PBE MgCdSe2, relaxed
data_MgCdSe2
_cell_length_a 3.827
_cell_length_b 8.064
_cell_length_c 3.740
_cell_angle_alpha 90.00
_cell_angle_beta 90.00
_cell_angle_gamma 90.00
_space_group_name_H-M_alt 'P 1'
_space_group_IT_number 1
_space_group_name_Hall 'P 1'
loop_
_atom_site_label
_atom_site_type_symbol
_atom_site_fract_x
_atom_site_fract_y
_atom_site_fract_z
Se1 Se 0.000 0.000 0.000
Mg1 Mg 0.000 0.500 0.500
Cd1 Cd 0.500 0.000 0.500
Se2 Se 0.500 0.500 0.000
# * total DFT energy (no corrections): -2.908 eV/atom
# * total magnetic moment: 0.00 μB per atom
# * DOS(E_F): 1.11 states/eV/f.u.

Record 12
# GGA-PBE MgCd2Se3, relaxed
data_MgCd2Se3
_cell_length_a 4.335
_cell_length_b 6.129
_cell_length_c 7.501
_cell_angle_alpha 114.11
_cell_angle_beta 106.80
_cell_angle_gamma 90.00
_space_group_name_H-M_alt 'P 1'
_space_group_IT_number 1
_space_group_name_Hall 'P 1'
loop_
_atom_site_label
_atom_site_type_symbol
_atom_site_fract_x
_atom_site_fract_y
_atom_site_fract_z
Mg1 Mg 0.500 0.247 0.000
Se1 Se 0.663 0.655 0.325
Cd1 Cd 0.165 0.915 0.331
Cd2 Cd 0.835 0.584 0.669
Se2 Se 0.000 0.012 0.000
Se3 Se 0.337 0.330 0.675
# * total DFT energy (no corrections): -3.149 eV/atom
# * total magnetic moment: 0.00 μB per atom